No. 1
## MoIr (PBE)

Data for a relaxed MoIr crystal.

The structure belongs to space group R-3m (No. 166, hexagonal axes); the cell edges are 2.7606, 2.7606 and 13.7221 Å and the angles 90.00°, 90.00° and 120.00°. The distinct sites, in fractional coordinates, are Mo at (0.0000, 0.0000, 0.0000) and Ir at (0.0000, 0.0000, 0.5000).

The value obtained for the formation energy is -109 meV/atom. The calculation puts the density of states at the Fermi level at 1.9 states/eV/f.u.

***

No. 2
## Mo5Ir3 (PBE)

Data for a relaxed Mo5Ir3 crystal.

The structure belongs to space group P6_3/mcm (No. 193); the cell edges are 7.7448, 7.7448 and 4.8835 Å and the angles 90.00°, 90.00° and 120.00°. The distinct sites, in fractional coordinates, are Mo at (0.0000, 0.2265, 0.2500), Mo at (0.3333, 0.6667, 0.0000) and Ir at (0.0000, 0.4077, 0.7500).

The value obtained for the formation energy is 40 meV/atom. The energy above the most stable polymorph in this dataset is 1.49 eV/f.u. The calculation puts the density of states at the Fermi level at 8.5 states/eV/f.u.

***

No. 3
## MoIr (PBE)

Data for a relaxed MoIr crystal.

The structure belongs to space group P4/nmm (No. 129, origin choice 2); the cell edges are 2.7707, 2.7707 and 7.9517 Å and the angles 90.00°, 90.00° and 90.00°. The distinct sites, in fractional coordinates, are Mo at (0.2500, 0.2500, 0.1373) and Ir at (0.2500, 0.2500, 0.6289).

The value obtained for the formation energy is -104 meV/atom. The calculation puts the density of states at the Fermi level at 1.7 states/eV/f.u.

***

No. 4
## MoIr (PBE)

Data for a relaxed MoIr crystal.

The structure belongs to space group I4/m (No. 87); the cell edges are 11.4531, 11.4531 and 2.6973 Å and the angles 90.00°, 90.00° and 90.00°. The distinct sites, in fractional coordinates, are Mo at (0.1158, 0.7627, 0.0000) and Ir at (0.0980, 0.2701, 0.0000).

The value obtained for the formation energy is 769 meV/atom. The calculation puts the density of states at the Fermi level at 1.5 states/eV/f.u.

***

No. 5
## MoIr8 (PBE)

Data for a relaxed MoIr8 crystal.

The structure belongs to space group I4/mmm (No. 139); the cell edges are 8.2349, 8.2349 and 3.8801 Å and the angles 90.00°, 90.00° and 90.00°. The distinct sites, in fractional coordinates, are Mo at (0.0000, 0.0000, 0.0000), Ir at (0.0000, 0.3317, 0.0000) and Ir at (0.1633, 0.1633, 0.5000).

The value obtained for the formation energy is -147 meV/atom. The calculation puts the density of states at the Fermi level at 7.4 states/eV/f.u.

***

No. 6
## MoIr (PBE)

Data for a relaxed MoIr crystal.

The structure belongs to space group F-43m (No. 216); the cell edges are 5.6508, 5.6508 and 5.6508 Å and the angles 90.00°, 90.00° and 90.00°. The distinct sites, in fractional coordinates, are Mo at (0.0000, 0.0000, 0.0000) and Ir at (0.2500, 0.2500, 0.2500).

The value obtained for the formation energy is 981 meV/atom. The calculation puts the density of states at the Fermi level at 2.5 states/eV/f.u.

***

No. 7
## Mo8Ir (PBE)

Data for a relaxed Mo8Ir crystal.

The structure belongs to space group I4/mmm (No. 139); the cell edges are 9.4223, 9.4223 and 3.1980 Å and the angles 90.00°, 90.00° and 90.00°. The distinct sites, in fractional coordinates, are Mo at (0.0000, 0.3311, 0.0000), Mo at (0.1689, 0.1689, 0.5000) and Ir at (0.0000, 0.0000, 0.0000).

The value obtained for the formation energy is 46 meV/atom. The calculation puts the density of states at the Fermi level at 9.7 states/eV/f.u.

***

No. 8
## MoIr (PBE)

Data for a relaxed MoIr crystal.

The structure belongs to space group Fddd (No. 70, origin choice 2); the cell edges are 5.5418, 5.5528 and 7.8526 Å and the angles 90.00°, 90.00° and 90.00°. The distinct sites, in fractional coordinates, are Mo at (0.1250, 0.1250, 0.1250) and Ir at (0.1250, 0.1250, 0.6250).

The value obtained for the formation energy is -187 meV/atom. The calculation puts the density of states at the Fermi level at 2.0 states/eV/f.u.